[1]
# Dy8Y4Tm3 PBE-GGA optimized geometry
# Energy above the most stable polymorph in this dataset   0.00 kcal/mol of atoms
# E_form   0.1357 eV/atom
# D(E_F)   23.50 states/eV per cell
data_Dy8Y4Tm3
_chemical_formula_sum 'Dy8 Y4 Tm3'
_cell_length_a 12.380
_cell_length_b 12.380
_cell_length_c 12.380
_cell_angle_alpha 32.32
_cell_angle_beta 32.32
_cell_angle_gamma 32.32
_symmetry_space_group_name_H-M 'P 1'
_symmetry_Int_Tables_number 1
_symmetry_space_group_name_Hall 'P 1'
loop_
_atom_site_label
_atom_site_type_symbol
_atom_site_fract_x
_atom_site_fract_y
_atom_site_fract_z
_atom_site_occupancy
Dy1 Dy 0.244 0.244 0.244 1
Dy2 Dy 0.247 0.750 0.750 1
Dy3 Dy 0.250 0.250 0.753 1
Dy4 Dy 0.250 0.753 0.250 1
Dy5 Dy 0.750 0.247 0.750 1
Dy6 Dy 0.750 0.750 0.247 1
Dy7 Dy 0.753 0.250 0.250 1
Dy8 Dy 0.756 0.756 0.756 1
Y1 Y 0.000 0.000 0.000 1
Y2 Y 0.336 0.336 0.336 1
Y3 Y 0.500 0.500 0.500 1
Y4 Y 0.664 0.664 0.664 1
Tm1 Tm 0.000 0.000 0.500 1
Tm2 Tm 0.000 0.500 0.000 1
Tm3 Tm 0.500 0.000 0.000 1

[2]
# MnTlAg2 PBE-GGA optimized geometry
# Energy above the most stable polymorph in this dataset   1.11 kcal/mol of atoms
# E_form   0.2929 eV/atom
# D(E_F)   2.56 states/eV per cell
data_MnTlAg2
_chemical_formula_sum 'Mn1 Tl1 Ag2'
_cell_length_a 4.138
_cell_length_b 4.138
_cell_length_c 4.436
_cell_angle_alpha 90.00
_cell_angle_beta 90.00
_cell_angle_gamma 90.00
_symmetry_space_group_name_H-M 'P 1'
_symmetry_Int_Tables_number 1
_symmetry_space_group_name_Hall 'P 1'
loop_
_atom_site_label
_atom_site_type_symbol
_atom_site_fract_x
_atom_site_fract_y
_atom_site_fract_z
_atom_site_occupancy
Mn1 Mn 0.000 0.000 0.000 1
Tl1 Tl 0.500 0.500 0.000 1
Ag1 Ag 0.000 0.500 0.500 1
Ag2 Ag 0.500 0.000 0.500 1

[3]
# SrSc2Cl PBE-GGA optimized geometry
# Energy above the most stable polymorph in this dataset   12.30 kcal/mol of atoms
# Energy relative to the elements, uncorrected   -43 meV/atom
# D(E_F)   4.58 states/eV per cell
data_SrSc2Cl
_chemical_formula_sum 'Sr1 Sc2 Cl1'
_cell_length_a 6.817
_cell_length_b 6.817
_cell_length_c 3.503
_cell_angle_alpha 90.00
_cell_angle_beta 90.00
_cell_angle_gamma 129.31
_symmetry_space_group_name_H-M 'P 1'
_symmetry_Int_Tables_number 1
_symmetry_space_group_name_Hall 'P 1'
loop_
_atom_site_label
_atom_site_type_symbol
_atom_site_fract_x
_atom_site_fract_y
_atom_site_fract_z
_atom_site_occupancy
Sr1 Sr 0.000 0.000 0.000 1
Sc1 Sc 0.000 0.500 0.500 1
Sc2 Sc 0.500 0.000 0.500 1
Cl1 Cl 0.500 0.500 0.000 1

[4]
# Ti2NbRe PBE-GGA optimized geometry
# E_form   -0.2253 eV/atom
# D(E_F)   4.66 states/eV per cell
data_Ti2NbRe
_chemical_formula_sum 'Ti2 Nb1 Re1'
_cell_length_a 5.341
_cell_length_b 5.341
_cell_length_c 5.341
_cell_angle_alpha 145.29
_cell_angle_beta 129.88
_cell_angle_gamma 62.40
_symmetry_space_group_name_H-M 'P 1'
_symmetry_Int_Tables_number 1
_symmetry_space_group_name_Hall 'P 1'
loop_
_atom_site_label
_atom_site_type_symbol
_atom_site_fract_x
_atom_site_fract_y
_atom_site_fract_z
_atom_site_occupancy
Ti1 Ti 0.000 0.000 0.000 1
Ti2 Ti 0.730 0.230 0.500 1
Nb1 Nb 0.261 0.761 0.500 1
Re1 Re 0.496 0.496 0.000 1

[5]
# Er6Cd3Ag PBE-GGA optimized geometry
# E_form   -0.2088 eV/atom
# D(E_F)   16.73 states/eV per cell
data_Er6Cd3Ag
_chemical_formula_sum 'Er12 Cd6 Ag2'
_cell_length_a 9.051
_cell_length_b 5.295
_cell_length_c 11.577
_cell_angle_alpha 90.00
_cell_angle_beta 109.83
_cell_angle_gamma 90.00
_symmetry_space_group_name_H-M 'P 1'
_symmetry_Int_Tables_number 1
_symmetry_space_group_name_Hall 'P 1'
loop_
_atom_site_label
_atom_site_type_symbol
_atom_site_fract_x
_atom_site_fract_y
_atom_site_fract_z
_atom_site_occupancy
Er1 Er 0.035 0.250 0.415 1
Er2 Er 0.167 0.750 0.173 1
Er3 Er 0.256 0.250 0.006 1
Er4 Er 0.348 0.750 0.812 1
Er5 Er 0.366 0.250 0.342 1
Er6 Er 0.403 0.250 0.635 1
Er7 Er 0.597 0.750 0.365 1
Er8 Er 0.634 0.750 0.658 1
Er9 Er 0.652 0.250 0.188 1
Er10 Er 0.744 0.750 0.994 1
Er11 Er 0.833 0.250 0.827 1
Er12 Er 0.965 0.750 0.585 1
Cd1 Cd 0.027 0.750 0.875 1
Cd2 Cd 0.105 0.250 0.717 1
Cd3 Cd 0.272 0.750 0.476 1
Cd4 Cd 0.728 0.250 0.524 1
Cd5 Cd 0.895 0.750 0.283 1
Cd6 Cd 0.973 0.250 0.125 1
Ag1 Ag 0.451 0.750 0.093 1
Ag2 Ag 0.549 0.250 0.907 1

[6]
# Sr2BRu PBE-GGA optimized geometry
# E_form   0.1544 eV/atom
# D(E_F)   5.68 states/eV per cell
data_Sr2BRu
_chemical_formula_sum 'Sr4 B2 Ru2'
_cell_length_a 7.977
_cell_length_b 7.977
_cell_length_c 7.977
_cell_angle_alpha 93.63
_cell_angle_beta 93.63
_cell_angle_gamma 150.87
_symmetry_space_group_name_H-M 'P 1'
_symmetry_Int_Tables_number 1
_symmetry_space_group_name_Hall 'P 1'
loop_
_atom_site_label
_atom_site_type_symbol
_atom_site_fract_x
_atom_site_fract_y
_atom_site_fract_z
_atom_site_occupancy
Sr1 Sr 0.375 0.185 0.310 1
Sr2 Sr 0.815 0.125 0.190 1
Sr3 Sr 0.875 0.065 0.690 1
Sr4 Sr 0.935 0.625 0.810 1
B1 B 0.000 0.000 0.000 1
B2 B 0.750 0.250 0.500 1
Ru1 Ru 0.250 0.750 0.500 1
Ru2 Ru 0.500 0.500 0.000 1

[7]
# Na2ZnGe3 PBE-GGA optimized geometry
# Energy above the most stable polymorph in this dataset   0.00 kcal/mol of atoms
# E_form   -0.1031 eV/atom
# D(E_F)   1.06 states/eV per cell
data_Na2ZnGe3
_chemical_formula_sum 'Na2 Zn1 Ge3'
_cell_length_a 5.683
_cell_length_b 5.683
_cell_length_c 7.397
_cell_angle_alpha 129.67
_cell_angle_beta 129.67
_cell_angle_gamma 46.94
_symmetry_space_group_name_H-M 'P 1'
_symmetry_Int_Tables_number 1
_symmetry_space_group_name_Hall 'P 1'
loop_
_atom_site_label
_atom_site_type_symbol
_atom_site_fract_x
_atom_site_fract_y
_atom_site_fract_z
_atom_site_occupancy
Na1 Na 0.000 0.000 0.000 1
Na2 Na 0.501 0.501 0.362 1
Zn1 Zn 0.172 0.172 0.767 1
Ge1 Ge 0.319 0.319 0.593 1
Ge2 Ge 0.674 0.674 0.942 1
Ge3 Ge 0.822 0.822 0.402 1

[8]
# Ce4OsSe2Cl PBE-GGA optimized geometry
# Energy relative to the elements, uncorrected   -1291 meV/atom
# D(E_F)   20.47 states/eV per cell
data_Ce4OsSe2Cl
_chemical_formula_sum 'Ce4 Os1 Se2 Cl1'
_cell_length_a 7.195
_cell_length_b 4.055
_cell_length_c 7.302
_cell_angle_alpha 90.00
_cell_angle_beta 108.71
_cell_angle_gamma 90.00
_symmetry_space_group_name_H-M 'P 1'
_symmetry_Int_Tables_number 1
_symmetry_space_group_name_Hall 'P 1'
loop_
_atom_site_label
_atom_site_type_symbol
_atom_site_fract_x
_atom_site_fract_y
_atom_site_fract_z
_atom_site_occupancy
Ce1 Ce 0.229 0.000 0.229 1
Ce2 Ce 0.242 0.500 0.759 1
Ce3 Ce 0.758 0.500 0.241 1
Ce4 Ce 0.771 0.000 0.771 1
Os1 Os 0.000 0.500 0.000 1
Se1 Se 0.000 0.000 0.500 1
Se2 Se 0.500 0.500 0.500 1
Cl1 Cl 0.500 0.000 0.000 1

[9]
# Rb3Ho2US6 PBE-GGA optimized geometry
# Energy relative to the elements, uncorrected   -1660 meV/atom
# D(E_F)   10.06 states/eV per cell
data_Rb3Ho2US6
_chemical_formula_sum 'Rb3 Ho2 U1 S6'
_cell_length_a 7.073
_cell_length_b 7.073
_cell_length_c 8.044
_cell_angle_alpha 98.43
_cell_angle_beta 98.43
_cell_angle_gamma 120.03
_symmetry_space_group_name_H-M 'P 1'
_symmetry_Int_Tables_number 1
_symmetry_space_group_name_Hall 'P 1'
loop_
_atom_site_label
_atom_site_type_symbol
_atom_site_fract_x
_atom_site_fract_y
_atom_site_fract_z
_atom_site_occupancy
Rb1 Rb 0.000 0.000 0.000 1
Rb2 Rb 0.333 0.667 0.000 1
Rb3 Rb 0.667 0.333 0.000 1
Ho1 Ho 0.167 0.833 0.500 1
Ho2 Ho 0.833 0.167 0.500 1
U1 U 0.500 0.500 0.500 1
S1 S 0.100 0.436 0.308 1
S2 S 0.228 0.228 0.692 1
S3 S 0.436 0.100 0.308 1
S4 S 0.564 0.900 0.692 1
S5 S 0.772 0.772 0.308 1
S6 S 0.900 0.564 0.692 1

[10]
# Li7SnBi4 PBE-GGA optimized geometry
# Energy above the most stable polymorph in this dataset   1.60 kcal/mol of atoms
# E_form   -0.2777 eV/atom
# D(E_F)   4.38 states/eV per cell
data_Li7SnBi4
_chemical_formula_sum 'Li7 Sn1 Bi4'
_cell_length_a 6.523
_cell_length_b 6.523
_cell_length_c 10.676
_cell_angle_alpha 120.46
_cell_angle_beta 120.46
_cell_angle_gamma 47.15
_symmetry_space_group_name_H-M 'P 1'
_symmetry_Int_Tables_number 1
_symmetry_space_group_name_Hall 'P 1'
loop_
_atom_site_label
_atom_site_type_symbol
_atom_site_fract_x
_atom_site_fract_y
_atom_site_fract_z
_atom_site_occupancy
Li1 Li 0.000 0.000 0.000 1
Li2 Li 0.144 0.144 0.536 1
Li3 Li 0.286 0.286 0.085 1
Li4 Li 0.430 0.430 0.656 1
Li5 Li 0.570 0.570 0.344 1
Li6 Li 0.714 0.714 0.915 1
Li7 Li 0.856 0.856 0.464 1
Sn1 Sn 0.500 0.500 0.000 1
Bi1 Bi 0.086 0.086 0.771 1
Bi2 Bi 0.219 0.219 0.307 1
Bi3 Bi 0.781 0.781 0.693 1
Bi4 Bi 0.914 0.914 0.229 1

[11]
# Ba2PuHO6 PBE-GGA optimized geometry
# DFT total energy   -7.56 eV/atom
data_Ba2PuHO6
_chemical_formula_sum 'Ba2 Pu1 H1 O6'
_cell_length_a 5.700
_cell_length_b 6.059
_cell_length_c 6.437
_cell_angle_alpha 92.68
_cell_angle_beta 116.03
_cell_angle_gamma 115.49
_symmetry_space_group_name_H-M 'P 1'
_symmetry_Int_Tables_number 1
_symmetry_space_group_name_Hall 'P 1'
loop_
_atom_site_label
_atom_site_type_symbol
_atom_site_fract_x
_atom_site_fract_y
_atom_site_fract_z
_atom_site_occupancy
Ba1 Ba 0.000 0.000 0.000 1
Ba2 Ba 0.031 0.561 0.497 1
Pu1 Pu 0.512 0.278 0.743 1
H1 H 0.168 0.548 0.044 1
O1 O 0.003 0.530 0.070 1
O2 O 0.095 0.060 0.444 1
O3 O 0.371 0.418 0.913 1
O4 O 0.435 0.990 0.886 1
O5 O 0.597 0.569 0.607 1
O6 O 0.679 0.156 0.598 1

What is the formula in the eighth record?
Ce4OsSe2Cl